DFT (PBE-GGA) results for a relaxed PuThGe crystal.

POSCAR file:
```
PuThGe
1.0
7.046 0.000 0.000
0.000 7.046 0.000
0.000 0.000 7.046
Pu Th Ge
4 4 4
Direct
0.000 0.000 0.000 Pu
0.000 0.500 0.500 Pu
0.500 0.000 0.500 Pu
0.500 0.500 0.000 Pu
0.250 0.250 0.750 Th
0.250 0.750 0.250 Th
0.750 0.250 0.250 Th
0.750 0.750 0.750 Th
0.000 0.000 0.500 Ge
0.000 0.500 0.000 Ge
0.500 0.000 0.000 Ge
0.500 0.500 0.500 Ge
```

Properties
- E: -8.44 eV per atom